one.
This record from Alexandria describes a PBEsol-optimized structure of LiScBr. The functional is SCAN.

Output
- Total moment: 1.3 Bohr magnetons per cell
- Crystal system: cubic
- Symmetry: F-43m (216)

a = 4.510 Å, b = 4.510 Å, c = 4.510 Å
α = 60.00°, β = 60.00°, γ = 60.00°
Positions (direct):
Li1 0.000 0.000 0.000
Sc1 0.500 0.500 0.500
Br1 0.250 0.250 0.250



two.
This record from Alexandria describes a PBEsol-optimized structure of LiScBr. The functional is SCAN.

Output
- Total moment: 1.0 Bohr magnetons per cell
- Crystal system: trigonal
- Symmetry: P3m1 (156)

a = 3.438 Å, b = 3.438 Å, c = 6.540 Å
α = 90.00°, β = 90.00°, γ = 120.00°
Positions (direct):
Li1 0.000 0.000 0.000
Sc1 0.667 0.333 0.618
Br1 0.333 0.667 0.322



Relative energies, unit kJ/mol of atoms: one 51.2; two 0.0



one.
This record from Alexandria describes a PBEsol-optimized structure of LiSe2Br. The functional is SCAN.

Output
- Total moment: 0.8 Bohr magnetons per cell
- Crystal system: tetragonal
- Symmetry: I-4m2 (119)

a = 6.404 Å, b = 6.404 Å, c = 6.404 Å
α = 144.89°, β = 144.89°, γ = 50.50°
Positions (direct):
Li1 0.000 0.000 0.000
Se1 0.500 0.500 0.000
Se2 0.750 0.250 0.500
Br1 0.250 0.750 0.500



two.
This record from Alexandria describes a PBEsol-optimized structure of LiSe2Br. The functional is SCAN.

Output
- Total moment: 0.0 Bohr magnetons per cell
- Crystal system: monoclinic
- Symmetry: C2/m (12)

a = 8.127 Å, b = 8.127 Å, c = 3.629 Å
α = 100.57°, β = 100.57°, γ = 25.41°
Positions (direct):
Li1 0.000 0.000 0.000
Se1 0.274 0.274 0.797
Se2 0.726 0.726 0.203
Br1 0.500 0.500 0.500



three.
This record from Alexandria describes a PBEsol-optimized structure of LiSe2Br. The functional is SCAN.

Output
- Total moment: 0.0 Bohr magnetons per cell
- Crystal system: trigonal
- Symmetry: R-3m (166)

a = 11.668 Å, b = 11.668 Å, c = 11.668 Å
α = 14.44°, β = 14.44°, γ = 14.44°
Positions (direct):
Li1 0.000 0.000 0.000
Se1 0.274 0.274 0.274
Se2 0.726 0.726 0.726
Br1 0.500 0.500 0.500



Relative energies, unit kJ/mol of atoms: one 68.3; two 0.0; three 53.7



one.
This record from Alexandria describes a PBEsol-optimized structure of Li2SiBr. The functional is SCAN.

Output
- Total moment: 0.0 Bohr magnetons per cell
- Crystal system: tetragonal
- Symmetry: P4/mmm (123)

a = 4.740 Å, b = 4.740 Å, c = 3.184 Å
α = 90.00°, β = 90.00°, γ = 90.00°
Positions (direct):
Li1 0.000 0.500 0.000
Li2 0.500 0.000 0.000
Si1 0.000 0.000 0.500
Br1 0.500 0.500 0.500



two.
This record from Alexandria describes a PBEsol-optimized structure of Li2SiBr. The functional is SCAN.

Output
- Total moment: 0.0 Bohr magnetons per cell
- Crystal system: trigonal
- Symmetry: R-3m (166)

a = 7.919 Å, b = 7.919 Å, c = 7.919 Å
α = 24.12°, β = 24.12°, γ = 24.12°
Positions (direct):
Li1 0.239 0.239 0.239
Li2 0.761 0.761 0.761
Si1 0.000 0.000 0.000
Br1 0.500 0.500 0.500



three.
This record from Alexandria describes a PBEsol-optimized structure of Li2SiBr. The functional is SCAN.

Output
- Total moment: 0.0 Bohr magnetons per cell
- Crystal system: tetragonal
- Symmetry: P4/mmm (123)

a = 3.162 Å, b = 3.162 Å, c = 7.053 Å
α = 90.00°, β = 90.00°, γ = 90.00°
Positions (direct):
Li1 0.000 0.000 0.233
Li2 0.000 0.000 0.767
Si1 0.500 0.500 0.500
Br1 0.500 0.500 0.000



four.
This record from Alexandria describes a PBEsol-optimized structure of Li2SiBr. The functional is SCAN.

Output
- Total moment: 0.0 Bohr magnetons per cell
- Crystal system: orthorhombic
- Symmetry: Cmmm (65)

a = 4.829 Å, b = 4.829 Å, c = 3.169 Å
α = 90.00°, β = 90.00°, γ = 107.01°
Positions (direct):
Li1 0.000 0.500 0.000
Li2 0.500 0.000 0.000
Si1 0.000 0.000 0.500
Br1 0.500 0.500 0.500



Relative energies, unit kJ/mol of atoms: one 24.6; two 0.0; three 4.8; four 16.7



one.
This record from Alexandria describes a PBEsol-optimized structure of SrLiBr2. The functional is SCAN.

Output
- Total moment: 0.7 Bohr magnetons per cell
- Crystal system: tetragonal
- Symmetry: I-4m2 (119)

a = 6.982 Å, b = 6.982 Å, c = 6.982 Å
α = 144.91°, β = 144.91°, γ = 50.47°
Positions (direct):
Sr1 0.000 0.000 0.000
Li1 0.250 0.750 0.500
Br1 0.500 0.500 0.000
Br2 0.750 0.250 0.500



two.
This record from Alexandria describes a PBEsol-optimized structure of SrLiBr2. The functional is SCAN.

Output
- Total moment: 0.8 Bohr magnetons per cell
- Crystal system: cubic
- Symmetry: Fm-3m (225)

a = 5.293 Å, b = 5.293 Å, c = 5.293 Å
α = 60.00°, β = 60.00°, γ = 60.00°
Positions (direct):
Sr1 0.000 0.000 0.000
Li1 0.500 0.500 0.500
Br1 0.250 0.250 0.250
Br2 0.750 0.750 0.750



Relative energies, unit kJ/mol of atoms: one 0.9; two 0.0



one.
This record from Alexandria describes a PBEsol-optimized structure of Li2TaBr. The functional is SCAN.

Output
- Total moment: 0.0 Bohr magnetons per cell
- Crystal system: orthorhombic
- Symmetry: Pmm2 (25)

a = 2.945 Å, b = 4.876 Å, c = 5.254 Å
α = 90.00°, β = 90.00°, γ = 90.00°
Positions (direct):
Li1 0.000 0.000 0.000
Li2 0.000 0.500 0.253
Ta1 0.500 0.500 0.766
Br1 0.500 0.000 0.606



two.
This record from Alexandria describes a PBEsol-optimized structure of Li2TaBr. The functional is SCAN.

Output
- Total moment: 0.1 Bohr magnetons per cell
- Crystal system: orthorhombic
- Symmetry: Cmm2 (35)

a = 3.071 Å, b = 3.071 Å, c = 9.360 Å
α = 90.00°, β = 90.00°, γ = 118.98°
Positions (direct):
Li1 0.000 0.000 0.000
Li2 0.500 0.500 0.278
Ta1 0.500 0.500 0.733
Br1 0.000 0.000 0.497



three.
This record from Alexandria describes a PBEsol-optimized structure of Li2TaBr. The functional is SCAN.

Output
- Total moment: 4.1 Bohr magnetons per cell
- Crystal system: cubic
- Symmetry: Fm-3m (225)

a = 4.777 Å, b = 4.777 Å, c = 4.777 Å
α = 60.00°, β = 60.00°, γ = 60.00°
Positions (direct):
Li1 0.250 0.250 0.250
Li2 0.750 0.750 0.750
Ta1 0.000 0.000 0.000
Br1 0.500 0.500 0.500



Relative energies, unit kJ/mol of atoms: one 8.3; two 0.0; three 73.0



one.
This record from Alexandria describes a PBEsol-optimized structure of Li2TeBr. The functional is SCAN.

Output
- Total moment: 0.0 Bohr magnetons per cell
- Crystal system: tetragonal
- Symmetry: P4/mmm (123)

a = 3.388 Å, b = 3.388 Å, c = 7.538 Å
α = 90.00°, β = 90.00°, γ = 90.00°
Positions (direct):
Li1 0.000 0.000 0.223
Li2 0.000 0.000 0.777
Te1 0.500 0.500 0.500
Br1 0.500 0.500 0.000



two.
This record from Alexandria describes a PBEsol-optimized structure of Li2TeBr. The functional is SCAN.

Output
- Total moment: 0.0 Bohr magnetons per cell
- Crystal system: monoclinic
- Symmetry: C2/m (12)

a = 3.607 Å, b = 3.607 Å, c = 7.564 Å
α = 104.04°, β = 104.04°, γ = 61.98°
Positions (direct):
Li1 0.239 0.239 0.217
Li2 0.761 0.761 0.783
Te1 0.000 0.000 0.500
Br1 0.500 0.500 0.000



Relative energies, unit kJ/mol of atoms: one 13.7; two 0.0



one.
This record from Alexandria describes a PBEsol-optimized structure of LiTlBr2. The functional is SCAN.

Output
- Total moment: 0.0 Bohr magnetons per cell
- Crystal system: trigonal
- Symmetry: R3m (160)

a = 7.827 Å, b = 7.827 Å, c = 7.827 Å
α = 29.94°, β = 29.94°, γ = 29.94°
Positions (direct):
Li1 0.000 0.000 0.000
Tl1 0.168 0.168 0.168
Br1 0.400 0.400 0.400
Br2 0.601 0.601 0.601



two.
This record from Alexandria describes a PBEsol-optimized structure of LiTlBr2. The functional is SCAN.

Output
- Total moment: 0.0 Bohr magnetons per cell
- Crystal system: monoclinic
- Symmetry: Pm (6)

a = 4.700 Å, b = 4.343 Å, c = 6.440 Å
α = 90.00°, β = 92.61°, γ = 90.00°
Positions (direct):
Li1 0.000 0.000 0.000
Tl1 0.646 0.500 0.570
Br1 0.146 0.000 0.636
Br2 0.765 0.500 0.076



three.
This record from Alexandria describes a PBEsol-optimized structure of LiTlBr2. The functional is SCAN.

Output
- Total moment: 0.0 Bohr magnetons per cell
- Crystal system: orthorhombic
- Symmetry: Imm2 (44)

a = 8.026 Å, b = 8.026 Å, c = 8.026 Å
α = 153.35°, β = 151.91°, γ = 39.11°
Positions (direct):
Li1 0.000 0.000 0.000
Tl1 0.245 0.745 0.500
Br1 0.566 0.566 0.000
Br2 0.861 0.361 0.500



Relative energies, unit kJ/mol of atoms: one 0.0; two 3.0; three 6.6



one.
This record from Alexandria describes a PBEsol-optimized structure of LiTlBr2. The functional is SCAN.

Output
- Total moment: 0.0 Bohr magnetons per cell
- Crystal system: trigonal
- Symmetry: R-3m (166)

a = 7.734 Å, b = 7.734 Å, c = 7.734 Å
α = 30.66°, β = 30.66°, γ = 30.66°
Positions (direct):
Li1 0.000 0.000 0.000
Tl1 0.500 0.500 0.500
Br1 0.267 0.267 0.267
Br2 0.733 0.733 0.733



two.
This record from Alexandria describes a PBEsol-optimized structure of LiTlBr2. The functional is SCAN.

Output
- Total moment: 0.0 Bohr magnetons per cell
- Crystal system: cubic
- Symmetry: F-43m (216)

a = 5.337 Å, b = 5.337 Å, c = 5.337 Å
α = 60.00°, β = 60.00°, γ = 60.00°
Positions (direct):
Li1 0.000 0.000 0.000
Tl1 0.750 0.750 0.750
Br1 0.250 0.250 0.250
Br2 0.500 0.500 0.500



three.
This record from Alexandria describes a PBEsol-optimized structure of LiTlBr2. The functional is SCAN.

Output
- Total moment: 0.0 Bohr magnetons per cell
- Crystal system: monoclinic
- Symmetry: P2/m (10)

a = 4.041 Å, b = 3.718 Å, c = 7.425 Å
α = 90.00°, β = 101.31°, γ = 90.00°
Positions (direct):
Li1 0.000 0.000 0.000
Tl1 0.500 0.000 0.500
Br1 0.101 0.500 0.771
Br2 0.899 0.500 0.229



Relative energies, unit kJ/mol of atoms: one 0.0; two 53.9; three 3.5